Compound: K3LaP2O8
Source: Alexandria via LeMat-Bulk
Functional: GGA-PBEsol
Structure: relaxed

## Properties
The crystal system is monoclinic. The calculation puts the density of states at the Fermi level at 0.000 states/eV per atom. The calculation puts the volume at 405.5 Å³ per cell. As for the raw formation energy: -2.623 eV/atom. As for the raw total energy: -7.07 eV/atom. The total magnetization comes out at 0.0000 μB/atom. Its symmetry is P2_1/m (11).

Cell: 7.463 5.651 9.615 Å, 90.00 90.93 90.00°
Element x y z (fractional)
K 0.009 0.250 0.190
K 0.140 0.750 0.405
K 0.300 0.250 0.916
K 0.700 0.750 0.084
K 0.860 0.250 0.595
K 0.991 0.750 0.810
La 0.492 0.750 0.707
La 0.508 0.250 0.293
P 0.262 0.750 0.084
P 0.299 0.250 0.574
P 0.701 0.750 0.426
P 0.738 0.250 0.916
O 0.057 0.750 0.099
O 0.215 0.250 0.425
O 0.239 0.025 0.654
O 0.239 0.475 0.654
O 0.318 0.750 0.929
O 0.342 0.526 0.157
O 0.342 0.974 0.157
O 0.494 0.750 0.441
O 0.506 0.250 0.559
O 0.658 0.026 0.843
O 0.658 0.474 0.843
O 0.682 0.250 0.071
O 0.761 0.525 0.346
O 0.761 0.975 0.346
O 0.785 0.750 0.575
O 0.943 0.250 0.901

---

Compound: Fe4Co
Source: Alexandria via LeMat-Bulk
Functional: GGA-PBEsol
Structure: relaxed

## Properties
As for the relative energy among the computed polymorphs: 2 meV/atom. The crystal system is tetragonal. The formation enthalpy at 0 K comes out at 7 kJ/mol of formula units. The calculation puts the density of states at the Fermi level at 0.797 states/eV per atom. The calculation puts the volume at 54.8 Å³ per cell. As for the raw total energy: -8.70 eV/atom. The total magnetization comes out at 2.2921 μB/atom. Its symmetry is I4/m (87).

Cell: 4.640 4.640 4.640 Å, 95.23 95.23 144.87°
Element x y z (fractional)
Fe 0.100 0.701 0.801
Fe 0.299 0.100 0.399
Fe 0.701 0.900 0.601
Fe 0.900 0.299 0.199
Co 0.500 0.500 0.000

---

Compound: RePIr2
Source: Alexandria via LeMat-Bulk
Functional: GGA-PBEsol
Structure: relaxed

## Properties
The crystal system is monoclinic. The formation enthalpy at 0 K comes out at -32 kJ/mol of formula units. The calculation puts the density of states at the Fermi level at 0.488 states/eV per atom. The calculation puts the volume at 55.3 Å³ per cell. As for the raw total energy: -9.77 eV/atom. The total magnetization comes out at 0.0000 μB/atom. Its symmetry is Cm (8).

Cell: 4.777 4.777 4.750 Å, 110.72 110.72 33.29°
Element x y z (fractional)
Re 0.000 0.000 0.000
P 0.705 0.705 0.369
Ir 0.233 0.233 0.797
Ir 0.433 0.433 0.465

---

Compound: LiZn2Sb
Source: Alexandria via LeMat-Bulk
Functional: GGA-PBEsol
Structure: relaxed

## Properties
The crystal system is trigonal. The calculation puts the density of states at the Fermi level at 0.434 states/eV per atom. The calculation puts the volume at 76.3 Å³ per cell. As for the raw formation energy: 0.106 eV/atom. As for the raw total energy: -2.32 eV/atom. The total magnetization comes out at 0.0000 μB/atom. Its symmetry is R-3m (166).

Cell: 9.089 9.089 9.089 Å, 19.93 19.93 19.93°
Element x y z (fractional)
Li 0.000 0.000 0.000
Zn 0.257 0.257 0.257
Zn 0.743 0.743 0.743
Sb 0.500 0.500 0.500

---

Compound: Ta5Mo4
Source: Alexandria via LeMat-Bulk
Functional: GGA-PBEsol
Structure: relaxed

## Properties
The crystal system is tetragonal. The formation enthalpy at 0 K comes out at -77 kJ/mol of formula units. The calculation puts the density of states at the Fermi level at 0.858 states/eV per atom. The calculation puts the volume at 147.9 Å³ per cell. As for the raw total energy: -12.29 eV/atom. The total magnetization comes out at 0.0000 μB/atom. Its symmetry is I4/mmm (139).

Cell: 6.993 6.993 6.993 Å, 92.98 92.98 153.62°
Element x y z (fractional)
Ta 0.000 0.000 0.000
Ta 0.333 0.333 0.666
Ta 0.333 0.667 0.000
Ta 0.667 0.333 0.000
Ta 0.667 0.667 0.334
Mo 0.000 0.338 0.338
Mo 0.000 0.662 0.662
Mo 0.338 0.000 0.338
Mo 0.662 0.000 0.662

---

Compound: RbPO3
Source: Alexandria via LeMat-Bulk
Functional: GGA-PBEsol
Structure: relaxed

## Properties
The crystal system is monoclinic. The calculation puts the density of states at the Fermi level at 0.000 states/eV per atom. The calculation puts the volume at 1056.6 Å³ per cell. As for the raw formation energy: -2.270 eV/atom. As for the raw total energy: -6.78 eV/atom. The total magnetization comes out at 0.0000 μB/atom. Its symmetry is P2_1/c (14).

Cell: 7.599 12.431 12.329 Å, 90.00 114.88 90.00°
Element x y z (fractional)
Rb 0.073 0.141 0.424
Rb 0.073 0.359 0.924
Rb 0.226 0.082 0.879
Rb 0.226 0.418 0.379
Rb 0.309 0.744 0.904
Rb 0.309 0.756 0.404
Rb 0.691 0.244 0.596
Rb 0.691 0.256 0.096
Rb 0.774 0.582 0.621
Rb 0.774 0.918 0.121
Rb 0.927 0.641 0.076
Rb 0.927 0.859 0.576
P 0.251 0.167 0.181
P 0.251 0.333 0.681
P 0.289 0.568 0.659
P 0.289 0.932 0.159
P 0.396 0.557 0.168
P 0.396 0.943 0.668
P 0.604 0.057 0.332
P 0.604 0.443 0.832
P 0.711 0.068 0.841
P 0.711 0.432 0.341
P 0.749 0.667 0.319
P 0.749 0.833 0.819
O 0.107 0.229 0.210
O 0.107 0.271 0.710
O 0.163 0.655 0.671
O 0.163 0.845 0.171
O 0.170 0.045 0.148
O 0.170 0.455 0.648
O 0.276 0.551 0.036
O 0.276 0.949 0.536
O 0.296 0.576 0.248
O 0.296 0.924 0.748
O 0.314 0.208 0.089
O 0.314 0.292 0.589
O 0.362 0.574 0.564
O 0.362 0.926 0.064
O 0.438 0.148 0.309
O 0.438 0.352 0.809
O 0.470 0.551 0.791
O 0.470 0.949 0.291
O 0.530 0.051 0.709
O 0.530 0.449 0.209
O 0.562 0.648 0.191
O 0.562 0.852 0.691
O 0.638 0.074 0.936
O 0.638 0.426 0.436
O 0.686 0.708 0.411
O 0.686 0.792 0.911
O 0.704 0.076 0.252
O 0.704 0.424 0.752
O 0.724 0.051 0.464
O 0.724 0.449 0.964
O 0.830 0.545 0.352
O 0.830 0.955 0.852
O 0.837 0.155 0.829
O 0.837 0.345 0.329
O 0.893 0.729 0.290
O 0.893 0.771 0.790

---

Compound: TlCdPb
Source: Alexandria via LeMat-Bulk
Functional: GGA-PBEsol
Structure: relaxed

## Properties
As for the relative energy among the computed polymorphs: 0 meV/atom. The crystal system is tetragonal. The formation enthalpy at 0 K comes out at 11 kJ/mol of formula units. The calculation puts the density of states at the Fermi level at 0.372 states/eV per atom. The calculation puts the volume at 79.1 Å³ per cell. As for the raw total energy: -2.57 eV/atom. The total magnetization comes out at 0.0000 μB/atom. Its symmetry is I4mm (107).

Cell: 7.442 7.442 7.442 Å, 153.99 153.99 37.11°
Element x y z (fractional)
Tl 0.000 0.000 0.000
Cd 0.656 0.656 0.000
Pb 0.313 0.313 0.000

---

Compound: Li2AsWN
Source: Alexandria via LeMat-Bulk
Functional: GGA-PBEsol
Structure: relaxed

## Properties
The crystal system is tetragonal. The calculation puts the density of states at the Fermi level at 0.689 states/eV per atom. The calculation puts the volume at 99.9 Å³ per cell. As for the raw formation energy: 0.887 eV/atom. As for the raw total energy: -5.39 eV/atom. The total magnetization comes out at 0.2467 μB/atom. Its symmetry is P4/mmm (123).

Cell: 5.163 5.163 3.747 Å, 90.00 90.00 90.00°
Element x y z (fractional)
Li 0.000 0.500 0.000
Li 0.500 0.000 0.000
As 0.000 0.000 0.500
W 0.500 0.500 0.000
N 0.500 0.500 0.500

---

Compound: OsAuBr4
Source: Alexandria via LeMat-Bulk
Functional: GGA-PBEsol
Structure: relaxed

## Properties
The crystal system is cubic. The calculation puts the density of states at the Fermi level at 1.122 states/eV per atom. The calculation puts the volume at 139.1 Å³ per cell. As for the raw formation energy: 1.786 eV/atom. As for the raw total energy: -2.15 eV/atom. The total magnetization comes out at 0.4676 μB/atom. Its symmetry is F-43m (216).

Cell: 5.816 5.816 5.816 Å, 60.00 60.00 60.00°
Element x y z (fractional)
Os 0.000 0.000 0.000
Au 0.250 0.250 0.250
Br 0.124 0.625 0.625
Br 0.625 0.124 0.625
Br 0.625 0.625 0.124
Br 0.625 0.625 0.625